Density functional theory data (PBE-GGA) for a geometry-optimized RbDyGa4Au2 structure.

Output
E = -3.334 eV/atom
Size of the total moment = 0.01 μB per cell

a = 6.8798 Å, b = 4.6599 Å, c = 10.6689 Å
α = 90.00°, β = 90.00°, γ = 90.00°
Sites, in units of the cell vectors:
1 Rb 0.0000 0.0000 0.0000
2 Rb 0.0000 0.5000 0.5000
3 Dy 0.5000 0.0000 0.8098
4 Dy 0.5000 0.5000 0.3098
5 Ga 0.2007 0.0000 0.2871
6 Ga 0.2007 0.5000 0.7871
7 Ga 0.3117 0.0000 0.5352
8 Ga 0.3117 0.5000 0.0352
9 Ga 0.6883 0.0000 0.5352
10 Ga 0.6883 0.5000 0.0352
11 Ga 0.7993 0.0000 0.2871
12 Ga 0.7993 0.5000 0.7871
13 Au 0.0000 0.0000 0.7121
14 Au 0.0000 0.5000 0.2121
15 Au 0.5000 0.0000 0.1100
16 Au 0.5000 0.5000 0.6100

Density functional theory data (PBE-GGA) for a geometry-optimized SmDyGa2Au2 structure.

Output
E = -4.457 eV/atom
Size of the total moment = 0.00 μB per cell

a = 4.5402 Å, b = 4.5402 Å, c = 7.2341 Å
α = 90.00°, β = 90.00°, γ = 120.00°
Sites, in units of the cell vectors:
1 Sm 0.0000 0.0000 0.0000
2 Dy 0.0000 0.0000 0.5000
3 Ga 0.6667 0.3333 0.2825
4 Ga 0.6667 0.3333 0.7175
5 Au 0.3333 0.6667 0.2416
6 Au 0.3333 0.6667 0.7584

Density functional theory data (PBE-GGA) for a geometry-optimized SmDyGa2Au2 structure.

Output
E = -4.455 eV/atom
Size of the total moment = 0.00 μB per cell

a = 4.5530 Å, b = 4.5530 Å, c = 7.2106 Å
α = 90.00°, β = 90.00°, γ = 120.00°
Sites, in units of the cell vectors:
1 Sm 0.0000 0.0000 0.0000
2 Dy 0.0000 0.0000 0.5000
3 Ga 0.6667 0.3333 0.2225
4 Ga 0.6667 0.3333 0.7775
5 Au 0.3333 0.6667 0.2680
6 Au 0.3333 0.6667 0.7320

Density functional theory data (PBE-GGA) for a geometry-optimized DyTmGa4Au2 structure.

Output
E = -4.112 eV/atom
Size of the total moment = 0.00 μB per cell

a = 6.6497 Å, b = 4.4931 Å, c = 10.3278 Å
α = 90.00°, β = 90.00°, γ = 90.00°
Sites, in units of the cell vectors:
1 Dy 0.0000 0.0000 0.0000
2 Dy 0.0000 0.5000 0.5000
3 Tm 0.5000 0.0000 0.1834
4 Tm 0.5000 0.5000 0.6834
5 Ga 0.2004 0.0000 0.7113
6 Ga 0.2004 0.5000 0.2113
7 Ga 0.3001 0.0000 0.4717
8 Ga 0.3001 0.5000 0.9717
9 Ga 0.6999 0.0000 0.4717
10 Ga 0.6999 0.5000 0.9717
11 Ga 0.7996 0.0000 0.7113
12 Ga 0.7996 0.5000 0.2113
13 Au 0.0000 0.0000 0.2920
14 Au 0.0000 0.5000 0.7920
15 Au 0.5000 0.0000 0.8911
16 Au 0.5000 0.5000 0.3911

Density functional theory data (PBE-GGA) for a geometry-optimized Dy2YGa4Au structure.

Output
E = -4.404 eV/atom
Size of the total moment = 0.06 μB per cell

a = 6.4870 Å, b = 4.0394 Å, c = 13.4437 Å
α = 90.00°, β = 90.00°, γ = 90.00°
Sites, in units of the cell vectors:
1 Dy 0.0000 0.0000 0.0000
2 Dy 0.0000 0.5000 0.5000
3 Dy 0.5000 0.0000 0.4615
4 Dy 0.5000 0.5000 0.9615
5 Y 0.0000 0.0000 0.2725
6 Y 0.0000 0.5000 0.7725
7 Ga 0.2228 0.0000 0.6344
8 Ga 0.2228 0.5000 0.1344
9 Ga 0.3053 0.0000 0.8267
10 Ga 0.3053 0.5000 0.3267
11 Ga 0.6947 0.0000 0.8267
12 Ga 0.6947 0.5000 0.3267
13 Ga 0.7772 0.0000 0.6344
14 Ga 0.7772 0.5000 0.1344
15 Au 0.5000 0.0000 0.1774
16 Au 0.5000 0.5000 0.6774

Density functional theory data (PBE-GGA) for a geometry-optimized DyYGa4Au2 structure.

Output
E = -4.379 eV/atom
Size of the total moment = 0.01 μB per cell

a = 6.6613 Å, b = 4.5118 Å, c = 10.3707 Å
α = 90.00°, β = 90.00°, γ = 90.00°
Sites, in units of the cell vectors:
1 Dy 0.0000 0.0000 0.0000
2 Dy 0.0000 0.5000 0.5000
3 Y 0.5000 0.0000 0.1837
4 Y 0.5000 0.5000 0.6837
5 Ga 0.1998 0.0000 0.7117
6 Ga 0.1998 0.5000 0.2117
7 Ga 0.3000 0.0000 0.4720
8 Ga 0.3000 0.5000 0.9720
9 Ga 0.7000 0.0000 0.4720
10 Ga 0.7000 0.5000 0.9720
11 Ga 0.8002 0.0000 0.7117
12 Ga 0.8002 0.5000 0.2117
13 Au 0.0000 0.0000 0.2923
14 Au 0.0000 0.5000 0.7923
15 Au 0.5000 0.0000 0.8914
16 Au 0.5000 0.5000 0.3914